Entry from Alexandria via LeMat-Bulk: a relaxed structure of Ta5B2Sb (GGA-PBE).

Properties
The value obtained for the density of states at the Fermi level is 0.21 states/eV per atom. The value obtained for the formation energy (no corrections) is -3.30 eV/f.u.

abc: 6.4061 6.4061 7.4836
angles: 115.34 115.34 90.00
With the nearest neighbours (Å) after each atom.
Atoms (fractional coordinates):
Ta 0.5284 0.7082 0.7366  3 B 2.44-2.47
Ta 0.7918 0.9716 0.2634  3 B 2.44-2.47
Ta 0.0000 0.0000 0.0000  4 B 2.51
Ta 0.5000 0.5000 0.0000  4 B 2.51
Ta 0.2082 0.0284 0.7366  3 B 2.44-2.47
Ta 0.7082 0.2082 0.7366  3 B 2.44-2.47
Ta 0.0284 0.5284 0.7366  3 B 2.44-2.47
Ta 0.2918 0.7918 0.2634  3 B 2.44-2.47
Ta 0.9716 0.4716 0.2634  3 B 2.44-2.47
Ta 0.4716 0.2918 0.2634  3 B 2.44-2.47
B 0.1297 0.3703 0.0000  1 B 2.35, 8 Ta 2.44-2.51
B 0.6297 0.1297 0.0000  1 B 2.35, 8 Ta 2.44-2.51
B 0.3703 0.8703 0.0000  1 B 2.35, 8 Ta 2.44-2.51
B 0.8703 0.6297 0.0000  1 B 2.35, 8 Ta 2.44-2.51
Sb 0.7500 0.7500 0.5000  10 Ta 2.79-2.98
Sb 0.2500 0.2500 0.5000  10 Ta 2.79-2.98

***

Entry from Alexandria via LeMat-Bulk: a relaxed structure of La2AlHg (GGA-PBE).

Properties
The value obtained for the formation energy is -0.2717 eV per atom. The value obtained for the density of states at the Fermi level is 0.95 states/eV per atom.

abc: 6.4944 6.4944 6.4944
angles: 43.05 43.05 43.05
With the nearest neighbours (Å) after each atom.
Atoms (fractional coordinates):
Al 0.4429 0.4429 0.4429  3 Hg 2.80
Hg 0.8054 0.8054 0.8054  3 Al 2.80
La 0.0215 0.0215 0.0215  3 Al 3.16, 3 Hg 3.44, 3 La 3.52
La 0.2302 0.2302 0.2302  3 Hg 3.19, 3 Al 3.48, 3 La 3.52